Material: Rb3Er3CoO8
Method: DFT, GGA+U
State: optimized geometry

The structure in POSCAR format:
```
Rb3Er3CoO8
1.0
6.677 0.000 0.002
-3.338 5.783 -0.021
0.001 -3.831 6.588
Rb Er Co O
3 3 1 8
Direct
0.000 0.000 0.000
0.000 0.500 0.000
0.500 0.500 0.000
0.500 0.000 0.500
0.500 0.500 0.500
0.000 0.500 0.500
0.000 0.000 0.500
0.276 0.553 0.329
0.724 0.447 0.671
0.797 0.594 0.340
0.203 0.406 0.660
0.797 0.043 0.340
0.203 0.957 0.660
0.245 0.043 0.340
0.755 0.957 0.660
```

Values from the calculation:
Its total energy is -95.6 eV/cell. The total magnetization is 0.0769 μB/atom. The space group is R-3m.